NaBePO4 | the Alexandria database | SCAN | single point on PBEsol structure; magnetization = 0.00 Bohr magnetons per cell; density of states at the Fermi level = 0.0 states/eV/f.u.; calculated volume = 904.30 Å³/cell; E_form (uncorrected) = -2.73 eV/atom
1.0
8.1419 0.0000 0.0000
0.0000 7.8110 0.0000
-8.1268 0.0000 14.2193
Na Be P O
12 12 12 48
direct
0.0027 0.0031 0.2499
0.0027 0.4969 0.7499
0.2961 0.0332 0.0679
0.2961 0.4668 0.5679
0.3570 0.0292 0.5876
0.3570 0.4708 0.0876
0.6430 0.5292 0.9124
0.6430 0.9708 0.4124
0.7039 0.5332 0.4321
0.7039 0.9668 0.9321
0.9973 0.5031 0.2501
0.9973 0.9969 0.7501
0.0170 0.1694 0.4196
0.0170 0.3306 0.9196
0.3189 0.1685 0.2412
0.3189 0.3315 0.7412
0.3432 0.6679 0.4094
0.3432 0.8321 0.9094
0.6568 0.1679 0.0906
0.6568 0.3321 0.5906
0.6811 0.6685 0.2588
0.6811 0.8315 0.7588
0.9830 0.6694 0.0804
0.9830 0.8306 0.5804
0.0262 0.7093 0.9186
0.0262 0.7907 0.4186
0.3179 0.7142 0.7369
0.3179 0.7858 0.2369
0.3390 0.2110 0.9087
0.3390 0.2890 0.4087
0.6610 0.7110 0.5913
0.6610 0.7890 0.0913
0.6821 0.2142 0.7631
0.6821 0.2858 0.2631
0.9738 0.2093 0.5814
0.9738 0.2907 0.0814
0.0711 0.2479 0.5228
0.0711 0.2521 0.0228
0.1023 0.5245 0.9353
0.1023 0.9755 0.4353
0.1178 0.2320 0.6871
0.1178 0.2680 0.1871
0.1252 0.2212 0.8761
0.1252 0.2788 0.3761
0.1944 0.6671 0.4483
0.1944 0.8329 0.9483
0.2100 0.6645 0.1523
0.2100 0.8355 0.6523
0.2492 0.7342 0.8091
0.2492 0.7658 0.3091
0.2770 0.5278 0.7003
0.2770 0.9722 0.2003
0.3849 0.0283 0.8905
0.3849 0.4717 0.3905
0.3907 0.1620 0.3528
0.3907 0.3380 0.8528
0.4534 0.2461 0.5151
0.4534 0.2539 0.0151
0.4673 0.2493 0.7132
0.4673 0.2507 0.2132
0.5327 0.7493 0.7868
0.5327 0.7507 0.2868
0.5466 0.7461 0.9849
0.5466 0.7539 0.4849
0.6093 0.6620 0.1472
0.6093 0.8380 0.6472
0.6151 0.5283 0.6095
0.6151 0.9717 0.1095
0.7230 0.0278 0.7997
0.7230 0.4722 0.2997
0.7508 0.2342 0.6909
0.7508 0.2658 0.1909
0.7900 0.1645 0.3477
0.7900 0.3355 0.8477
0.8056 0.1671 0.0517
0.8056 0.3329 0.5517
0.8748 0.7212 0.6239
0.8748 0.7788 0.1239
0.8822 0.7320 0.8129
0.8822 0.7680 0.3129
0.8977 0.0245 0.5647
0.8977 0.4755 0.0647
0.9289 0.7479 0.9772
0.9289 0.7521 0.4772

MgTcS2N | the Alexandria database | SCAN | single point on PBEsol structure; magnetization = 0.00 Bohr magnetons per cell; density of states at the Fermi level = 2.7 states/eV/f.u.; calculated volume = 82.91 Å³/cell; E_form (uncorrected) = -0.22 eV/atom
1.0
4.7585 0.0000 0.0000
0.0000 4.7585 0.0000
0.0000 0.0000 3.6614
Mg Tc S N
1 1 2 1
direct
0.0000 0.0000 0.0000
0.5000 0.5000 0.5000
0.0000 0.5000 0.5000
0.5000 0.0000 0.5000
0.5000 0.5000 0.0000

La5P12Ru19 | the Alexandria database | SCAN | single point on PBEsol structure; magnetization = 0.00 Bohr magnetons per cell; density of states at the Fermi level = 21.4 states/eV/f.u.; ΔE_f = -3116 kJ/mol of formula units; calculated volume = 542.05 Å³/cell
1.0
12.5501 0.0000 0.0000
-6.2750 10.8687 0.0000
0.0000 0.0000 3.9739
La P Ru
5 12 19
direct
0.0000 0.1836 0.0000
0.1836 0.0000 0.0000
0.3333 0.6667 0.5000
0.6667 0.3333 0.5000
0.8164 0.8164 0.0000
0.0000 0.3767 0.5000
0.0000 0.8115 0.5000
0.1699 0.6946 0.0000
0.1885 0.1885 0.5000
0.3054 0.4753 0.0000
0.3767 0.0000 0.5000
0.4753 0.3054 0.0000
0.5247 0.8301 0.0000
0.6233 0.6233 0.5000
0.6946 0.1699 0.0000
0.8115 0.0000 0.5000
0.8301 0.5247 0.0000
0.0000 0.0000 0.5000
0.0000 0.5563 0.5000
0.0000 0.7146 0.0000
0.1235 0.4906 0.0000
0.1845 0.8060 0.5000
0.1940 0.3786 0.5000
0.2854 0.2854 0.0000
0.3671 0.8765 0.0000
0.3786 0.1940 0.5000
0.4437 0.4437 0.5000
0.4906 0.1235 0.0000
0.5094 0.6329 0.0000
0.5563 0.0000 0.5000
0.6214 0.8155 0.5000
0.6329 0.5094 0.0000
0.7146 0.0000 0.0000
0.8060 0.1845 0.5000
0.8155 0.6214 0.5000
0.8765 0.3671 0.0000

MgFe2Mo | the Alexandria database | SCAN | single point on PBEsol structure; magnetization = 0.00 Bohr magnetons per cell; density of states at the Fermi level = 0.8 states/eV/f.u.; ΔE_f = 113 kJ/mol of formula units; calculated volume = 52.34 Å³/cell
1.0
2.9478 0.0000 0.0000
0.0000 2.9478 0.0000
0.0000 0.0000 6.0228
Mg Fe Mo
1 2 1
direct
0.0000 0.0000 0.0000
0.5000 0.5000 0.2770
0.5000 0.5000 0.7230
0.0000 0.0000 0.5000